Record 1
Crystalline TaAsCl2 at its relaxed geometry. Source: the Alexandria database, functional PBE.

Calculated values
The calculation puts the distance to the lowest polymorph of the same formula at 0.296 eV/atom. The electronic total energy comes out at -21.55 eV for the cell shown.

Lattice parameters (Å, degrees): 11.9143 11.9143 11.9143 14.75 14.75 14.75
Last column: nearest neighbours and their distance in Å.
Fractional positions:
As  0.0000  0.0000  0.0000  6 As 3.06
Ta  0.5000  0.5000  0.5000  6 Cl 2.54
Cl  0.1150  0.1150  0.1150  3 Ta 2.54
Cl  0.8850  0.8850  0.8850  3 Ta 2.54



Record 2
Crystalline Pm5Er2Tm4 at its relaxed geometry. Source: the Alexandria database, functional PBE.

Calculated values
The calculation puts the distance to the lowest polymorph of the same formula at 0.000 eV/atom. The electronic total energy comes out at -49.33 eV for the cell shown. The energy relative to the elements is 130 meV/atom.

Lattice parameters (Å, degrees): 6.6150 6.6150 9.2390 75.68 75.68 66.69
Last column: nearest neighbours and their distance in Å.
Fractional positions:
Tm  0.6639  0.6639  0.8835  3 Er 3.43-3.64, 6 Pm 3.44-3.50, 2 Tm 3.45-3.62
Er  0.1460  0.1460  0.8824  1 Er 3.31, 6 Pm 3.43-3.70, 4 Tm 3.43-3.64
Er  0.8540  0.8540  0.1176  1 Er 3.31, 6 Pm 3.43-3.70, 4 Tm 3.43-3.64
Pm  0.7866  0.3472  0.2320  2 Pm 3.12-3.19, 1 Er 3.43, 2 Tm 3.44-3.47
Tm  0.3027  0.3027  0.4997  5 Pm 3.34-3.59, 1 Er 3.45, 1 Tm 3.45
Pm  0.3472  0.7866  0.2320  2 Pm 3.12-3.19, 1 Er 3.43, 2 Tm 3.44-3.47
Pm  0.0000  0.0000  0.5000  4 Pm 3.12, 2 Tm 3.34
Pm  0.2134  0.6528  0.7680  2 Pm 3.12-3.19, 1 Er 3.43, 2 Tm 3.44-3.47
Tm  0.6973  0.6973  0.5003  5 Pm 3.34-3.59, 1 Er 3.45, 1 Tm 3.45
Tm  0.3361  0.3361  0.1165  3 Er 3.43-3.64, 6 Pm 3.44-3.50, 2 Tm 3.45-3.62
Pm  0.6528  0.2134  0.7680  2 Pm 3.12-3.19, 1 Er 3.43, 2 Tm 3.44-3.47



Record 3
Crystalline CeMnGe at its relaxed geometry. Source: the Alexandria database, functional PBE.

Calculated values
The electronic total energy comes out at -20.26 eV for the cell shown. The energy relative to the elements is -179 meV/atom.

Lattice parameters (Å, degrees): 3.2209 3.2209 5.8812 105.89 105.89 90.00
Last column: nearest neighbours and their distance in Å.
Fractional positions:
Mn  0.9210  0.9210  0.8420  4 Ge 2.53
Ce  0.6101  0.6101  0.2203  5 Mn 3.06-3.37, 5 Ge 3.16-3.21, 4 Ce 3.22
Ge  0.3189  0.3189  0.6377  4 Mn 2.53



Record 4
Crystalline SmSc2In at its relaxed geometry. Source: the Alexandria database, functional PBE.

Calculated values
The calculation puts the distance to the lowest polymorph of the same formula at 0.000 eV/atom. The electronic total energy comes out at -21.14 eV for the cell shown. The energy relative to the elements is -255 meV/atom.

Lattice parameters (Å, degrees): 4.6440 4.6857 4.6857 90.00 90.00 90.00
Last column: nearest neighbours and their distance in Å.
Fractional positions:
Sm  0.5000  0.5000  0.5000  8 Sc 3.30, 4 In 3.31
Sc  0.0000  0.5000  0.0000  4 Sm 3.30, 4 In 3.30, 4 Sc 3.31
Sc  0.0000  0.0000  0.5000  4 In 3.30, 4 Sm 3.30, 4 Sc 3.31
In  0.5000  0.0000  0.0000  8 Sc 3.30, 4 Sm 3.31